# SrSn2Pt2 PBE optimized geometry
data_SrSn2Pt2
_chemical_formula_sum 'Sr2 Sn4 Pt4'
_symmetry_space_group_name_H-M 'I 4/m m m'
_symmetry_Int_Tables_number 139
_symmetry_space_group_name_Hall '-I 4 2'
_cell_length_a 4.658
_cell_length_b 4.658
_cell_length_c 11.001
_cell_angle_alpha 90.00
_cell_angle_beta 90.00
_cell_angle_gamma 90.00
loop_
_atom_site_label
_atom_site_type_symbol
_atom_site_fract_x
_atom_site_fract_y
_atom_site_fract_z
Sr1 Sr 0.000 0.000 0.000
Sn1 Sn 0.000 0.500 0.250
Pt1 Pt 0.000 0.000 0.377
# * magnetic moment: 0.00 μB per atom
# * formation energy: -70.9 kJ per mole of atoms